1.
DFT (PBE-GGA) results for a relaxed Li2DyYS4 crystal.

Output
ΔE_f (raw) in eV/atom: -1.8510
Total magnetic moment in μB/cell: 0.00
Total DFT energy (no corrections) in eV for the cell shown: -46.2
Theoretical density in g cm⁻³: 3.99
Space-group type: P2/m (10)

Unit cell a=3.916 b=6.780 c=6.574 alpha=110.07 beta=90.00 gamma=90.00
Positions (direct):
Li (0.500, 0.000, 0.500)
Li (0.000, 0.500, 0.500)
Dy (0.000, 0.000, 0.000)
Y (0.500, 0.500, 0.000)
S (0.500, 0.250, 0.251)
S (0.500, 0.750, 0.749)
S (0.000, 0.250, 0.749)
S (0.000, 0.750, 0.251)

=====

2.
DFT (PBE-GGA) results for a relaxed Nd3Cu2Pt3 crystal.

Output
Total magnetic moment in μB/cell: 0.00
Calculated formation energy in kJ/mol of atoms: -78
Total DFT energy (no corrections) in eV for the cell shown: -94.1
Theoretical density in g cm⁻³: 11.03
Space-group type: Cmcm (63)

Unit cell a=4.302 b=5.818 c=14.823 alpha=90.00 beta=90.00 gamma=111.70
Positions (direct):
Nd (0.909, 0.818, 0.397)
Nd (0.091, 0.182, 0.897)
Nd (0.909, 0.818, 0.103)
Nd (0.091, 0.182, 0.603)
Nd (0.634, 0.267, 0.250)
Nd (0.366, 0.733, 0.750)
Cu (0.789, 0.577, 0.898)
Cu (0.211, 0.423, 0.398)
Cu (0.789, 0.577, 0.602)
Cu (0.211, 0.423, 0.102)
Pt (0.612, 0.224, 0.455)
Pt (0.388, 0.776, 0.955)
Pt (0.612, 0.224, 0.045)
Pt (0.388, 0.776, 0.545)
Pt (0.347, 0.694, 0.250)
Pt (0.653, 0.306, 0.750)

=====

Question: The highest theoretical density belongs to which entry?
Answer: Nd3Cu2Pt3